No. 1
A relaxed Pu3Si4Pt7 crystal. Source: the Alexandria database, functional PBE-GGA.

E_form (uncorrected)	-0.855	eV per atom
M_tot	1.10	μB per atom
N(E_F)	76.40	states/eV/cell
VASP energy	-8.495	eV per atom

a = 15.6019 Å, b = 4.0232 Å, c = 9.5979 Å
α = 90.00°, β = 125.57°, γ = 90.00°
Space group C2/m (No. 12)
Inequivalent atoms, fractional coordinates:
Pu1 0.0000 0.0000 0.0000 x2
Pu2 0.1728 0.5000 0.6722 x4
Si1 0.1109 0.0000 0.8281 x4
Si2 0.1676 0.5000 0.2706 x4
Pt1 0.0000 0.0000 0.5000 x2
Pt2 0.0085 0.5000 0.2702 x4
Pt3 0.1682 0.0000 0.4190 x4
Pt4 0.1934 0.5000 0.0403 x4

=====

No. 2
A relaxed Pu3Si2Pt2 crystal. Source: the Alexandria database, functional PBE-GGA.

E_form (uncorrected)	-0.733	eV per atom
M_tot	2.34	μB per atom
N(E_F)	97.35	states/eV/cell
VASP energy	-10.151	eV per atom

a = 5.5902 Å, b = 7.9844 Å, c = 12.9449 Å
α = 90.00°, β = 90.00°, γ = 90.00°
Space group Pbcm (No. 57)
Inequivalent atoms, fractional coordinates:
Pu1 0.1254 0.1152 0.1038 x8
Pu2 0.3393 0.7437 0.7500 x4
Si1 0.1533 0.0974 0.7500 x4
Si2 0.3341 0.7500 0.0000 x4
Pt1 0.3866 0.0418 0.5926 x8

=====

No. 3
A relaxed PuSiPt crystal. Source: the Alexandria database, functional PBE-GGA.

E_form (uncorrected)	-0.628	eV per atom
M_tot	1.74	μB per atom
N(E_F)	13.10	states/eV/cell
VASP energy	-9.227	eV per atom

a = 4.1135 Å, b = 4.4235 Å, c = 6.4337 Å
α = 90.00°, β = 108.67°, γ = 90.00°
Space group P2_1/m (No. 11)
Inequivalent atoms, fractional coordinates:
Pu1 0.0682 0.2500 0.1381 x2
Si1 0.2553 0.7500 0.5101 x2
Pt1 0.3527 0.2500 0.7052 x2

=====

No. 4
A relaxed Pu2SiPt2 crystal. Source: the Alexandria database, functional PBE-GGA.

E_form (uncorrected)	-0.446	eV per atom
M_tot	0.00	μB per atom
N(E_F)	33.59	states/eV/cell
VASP energy	-9.680	eV per atom

a = 10.0394 Å, b = 5.6864 Å, c = 6.4114 Å
α = 90.00°, β = 99.16°, γ = 90.00°
Space group C2/c (No. 15)
Inequivalent atoms, fractional coordinates:
Pu1 0.0792 0.0832 0.1359 x8
Si1 0.0000 0.3809 0.7500 x4
Pt1 0.1654 0.4355 0.5063 x8

=====

No. 5
A relaxed Pu3Si2Pt crystal. Source: the Alexandria database, functional PBE-GGA.

E_form (uncorrected)	-0.459	eV per atom
M_tot	1.38	μB per atom
N(E_F)	70.01	states/eV/cell
VASP energy	-10.439	eV per atom

a = 5.5674 Å, b = 7.4665 Å, c = 12.2503 Å
α = 99.85°, β = 98.07°, γ = 102.67°
Space group P1 (No. 1)
Inequivalent atoms, fractional coordinates:
Pu1 0.0000 0.0000 0.0000 x1
Pu2 0.0558 0.9491 0.5427 x1
Pu3 0.1682 0.5363 0.8996 x1
Pu4 0.2260 0.8506 0.7330 x1
Pu5 0.3123 0.1144 0.2929 x1
Pu6 0.3833 0.4177 0.1351 x1
Pu7 0.4967 0.9946 0.4960 x1
Pu8 0.5626 0.9529 0.0461 x1
Pu9 0.6657 0.5333 0.4025 x1
Pu10 0.7266 0.8521 0.2330 x1
Pu11 0.8100 0.1061 0.7963 x1
Pu12 0.8830 0.4138 0.6373 x1
Si1 0.1621 0.7483 0.1283 x1
Si2 0.2184 0.6094 0.4995 x1
Si3 0.3300 0.3367 0.5364 x1
Si4 0.3962 0.2048 0.9107 x1
Si5 0.6580 0.7430 0.6275 x1
Si6 0.7246 0.6149 0.0010 x1
Si7 0.8283 0.3369 0.0360 x1
Si8 0.8973 0.2078 0.4116 x1
Pt1 0.1618 0.6819 0.3129 x1
Pt2 0.3808 0.2774 0.7254 x1
Pt3 0.6696 0.6809 0.8137 x1
Pt4 0.8764 0.2823 0.2267 x1

=====

No. 6
A relaxed PuSiPt crystal. Source: the Alexandria database, functional PBE-GGA.

E_form (uncorrected)	-0.821	eV per atom
M_tot	1.71	μB per atom
N(E_F)	11.61	states/eV/cell
VASP energy	-9.419	eV per atom

a = 4.2486 Å, b = 4.2486 Å, c = 3.8394 Å
α = 90.00°, β = 90.00°, γ = 120.00°
Space group P-6m2 (No. 187)
Inequivalent atoms, fractional coordinates:
Pu1 0.0000 0.0000 0.0000 x1
Si1 0.3333 0.6667 0.5000 x1
Pt1 0.6667 0.3333 0.5000 x1

=====

Q: The lowest M_tot belongs to which entry?
A: Pu2SiPt2